Sm6PIr2I3 after structural relaxation, computed with GGA-PBE. Values from VASP.

Space group ... No. 12
Density of states at the Fermi level ... 1.549 states/eV/cell
Formation energy (no corrections) ... -1.07 eV per atom

```
&SYSTEM
  ibrav = 0, nat = 12, ntyp = 4
/
ATOMIC_SPECIES
Sm 150.36 Sm.upf
P 30.97 P.upf
Ir 192.22 Ir.upf
I 126.90 I.upf
ATOMIC_POSITIONS crystal
Sm 0.096 0.439 0.815
Sm 0.218 0.218 0.184
Sm 0.439 0.096 0.815
Sm 0.561 0.904 0.185
Sm 0.782 0.782 0.816
Sm 0.904 0.561 0.185
P 0.500 0.500 0.000
Ir 0.167 0.833 0.000
Ir 0.833 0.167 0.000
I 0.000 0.000 0.500
I 0.336 0.664 0.500
I 0.664 0.336 0.500
CELL_PARAMETERS angstrom
3.646 -6.312 0.000
3.646 6.312 0.000
-2.406 0.000 7.919
```